Entry 1:
The following is a PBE-GGA calculation of a geometry-optimized CePm2Er structure, from Alexandria.

Space-group type: P4/mmm (123)

```
4
Lattice="3.558 0.000 0.000 0.000 3.558 0.000 0.000 0.000 10.169" Properties=species:S:1:pos:R:3 pbc="T T T"
Ce 0.000 0.000 0.000
Pm 1.779 1.779 2.503
Pm 1.779 1.779 7.665
Er 0.000 0.000 5.084
```

Entry 2:
The following is a PBE-GGA calculation of a geometry-optimized Ce2PmEr structure, from Alexandria.

Space-group type: P4/mmm (123)

```
4
Lattice="4.917 0.000 0.000 0.000 4.917 0.000 0.000 0.000 5.085" Properties=species:S:1:pos:R:3 pbc="T T T"
Ce 0.000 2.459 0.000
Ce 2.459 0.000 0.000
Pm 0.000 0.000 2.543
Er 2.459 2.459 2.543
```

Entry 3:
The following is a PBE-GGA calculation of a geometry-optimized CePm2Er6 structure, from Alexandria.

Space-group type: C2/c (15)

```
18
Lattice="6.418 -6.940 0.000 6.418 6.940 0.000 -1.293 0.000 6.416" Properties=species:S:1:pos:R:3 pbc="T T T"
Ce 5.448 5.288 4.812
Ce 6.095 -5.288 1.604
Pm 3.801 0.391 4.034
Pm 4.447 -0.391 0.826
Pm 7.095 0.391 5.590
Pm 7.742 -0.391 2.382
Er 0.652 1.170 5.228
Er 2.945 2.800 1.679
Er 1.299 -1.170 2.020
Er 6.038 2.666 0.010
Er 6.152 2.666 3.198
Er 2.299 -2.800 4.887
Er 9.244 2.800 1.528
Er 5.391 -2.666 3.217
Er 5.505 -2.666 6.406
Er 10.244 1.170 4.396
Er 8.598 -2.800 4.736
Er 10.891 -1.170 1.188
```

Here are the calculated energy relative to the elements numbers, same order: 66, 108, 132 (meV/atom).
Here are the calculated polymorph energy (0 for the lowest one) numbers, same order: 0.00, 0.02, 0.42 (eV per formula unit).